1.
This record from Alexandria via LeMat-Bulk describes an optimized crystal structure of SrYAu2. The functional is PBE.

```
SrYAu2
1.0
-2.665 -2.429 -2.428
3.100 -3.024 -0.378
-2.090 -2.775 5.070
Au Y Sr
2 1 1
Direct
0.000 0.000 0.875
0.500 0.500 0.375
0.500 0.500 0.875
0.000 0.000 0.375
```

Summary:
Its space group is P4/mmm (123). As for the final energy: -17.4 eV for the cell shown. The distance to the lowest polymorph of the same formula comes out at 50 kJ/mol of formula units. The calculated volume is 29.04 Å³/atom.

=====

2.
This record from Alexandria via LeMat-Bulk describes an optimized crystal structure of SrYAu2. The functional is PBE.

```
SrYAu2
1.0
-0.122 -3.584 2.415
3.655 -1.611 1.654
0.268 2.306 7.306
Au Y Sr
2 1 1
Direct
0.510 0.510 0.469
0.990 0.990 0.031
0.250 0.250 0.250
0.750 0.750 0.750
```

Summary:
Its space group is R-3m (166). As for the final energy: -17.5 eV for the cell shown. The distance to the lowest polymorph of the same formula comes out at 32 kJ/mol of formula units. The calculated volume is 29.36 Å³/atom.

=====

3.
This record from Alexandria via LeMat-Bulk describes an optimized crystal structure of SrY2Au. The functional is PBE.

```
SrY2Au
1.0
10.509 -0.020 -0.012
9.795 3.805 -0.012
9.795 1.826 3.339
Au Sr Y
1 1 2
Direct
0.506 0.506 0.506
0.767 0.767 0.767
0.992 0.992 0.992
0.235 0.235 0.235
```

Summary:
Its space group is R3m (160). As for the final energy: -18.7 eV for the cell shown. The distance to the lowest polymorph of the same formula comes out at 52 kJ/mol of formula units. The calculated volume is 33.66 Å³/atom.

=====

4.
This record from Alexandria via LeMat-Bulk describes an optimized crystal structure of SrYAu2. The functional is PBE.

```
SrYAu2
1.0
-2.148 -4.636 -1.186
-4.047 -1.809 2.803
-4.786 -0.203 -2.135
Au Y Sr
2 1 1
Direct
0.750 0.750 0.750
0.250 0.250 0.250
0.500 0.500 0.500
0.000 0.000 0.000
```

Summary:
Its space group is Fm-3m (225). As for the final energy: -17.6 eV for the cell shown. The distance to the lowest polymorph of the same formula comes out at 32 kJ/mol of formula units. The calculated volume is 25.50 Å³/atom.

=====

5.
This record from Alexandria via LeMat-Bulk describes an optimized crystal structure of SrY2Au. The functional is PBE.

```
SrY2Au
1.0
-3.954 -1.702 -2.720
-0.144 -4.219 2.849
-2.808 2.005 2.827
Au Y Sr
1 2 1
Direct
0.500 0.000 0.500
0.000 0.000 0.000
0.500 0.500 0.000
0.000 0.500 0.500
```

Summary:
Its space group is P4/mmm (123). As for the final energy: -18.2 eV for the cell shown. The distance to the lowest polymorph of the same formula comes out at 105 kJ/mol of formula units. The calculated volume is 28.92 Å³/atom.

=====

6.
This record from Alexandria via LeMat-Bulk describes an optimized crystal structure of SrY2Au. The functional is PBE.

```
SrY2Au
1.0
-0.234 -0.437 6.800
-1.626 -3.751 5.456
4.246 -2.661 2.166
Y Sr Au
2 1 1
Direct
0.998 0.998 0.002
0.194 0.194 0.306
0.796 0.796 0.704
0.512 0.512 0.487
```

Summary:
Its space group is Imm2 (44). As for the final energy: -18.9 eV for the cell shown. The distance to the lowest polymorph of the same formula comes out at 37 kJ/mol of formula units. The calculated volume is 31.14 Å³/atom.

=====

7.
This record from Alexandria via LeMat-Bulk describes an optimized crystal structure of SrYAu2. The functional is PBE.

```
SrYAu2
1.0
-4.182 0.081 0.495
-2.525 -0.621 -3.313
-2.217 -7.679 0.451
Au Y Sr
2 1 1
Direct
0.260 0.260 0.221
0.074 0.074 0.779
0.668 0.668 0.995
0.498 0.498 0.505
```

Summary:
Its space group is R3m (160). As for the final energy: -17.5 eV for the cell shown. The distance to the lowest polymorph of the same formula comes out at 42 kJ/mol of formula units. The calculated volume is 29.29 Å³/atom.

=====

8.
This record from Alexandria via LeMat-Bulk describes an optimized crystal structure of SrYAu2. The functional is PBE.

```
SrYAu2
1.0
6.267 0.033 0.000
3.217 5.379 0.000
-4.742 -2.706 3.077
Y Au Sr
1 2 1
Direct
0.750 0.250 0.500
0.000 0.000 0.000
0.250 0.750 0.500
0.500 0.500 0.000
```

Summary:
Its space group is I-4m2 (119). As for the final energy: -16.7 eV for the cell shown. The distance to the lowest polymorph of the same formula comes out at 115 kJ/mol of formula units. The calculated volume is 25.85 Å³/atom.

=====

9.
This record from Alexandria via LeMat-Bulk describes an optimized crystal structure of SrYAu2. The functional is PBE.

```
SrYAu2
1.0
-2.677 2.372 3.607
0.047 -1.755 4.766
2.397 2.605 3.642
Y Au Sr
1 2 1
Direct
0.750 0.750 0.750
0.000 0.000 0.000
0.250 0.250 0.250
0.500 0.500 0.500
```

Summary:
Its space group is F-43m (216). As for the final energy: -16.3 eV for the cell shown. The distance to the lowest polymorph of the same formula comes out at 154 kJ/mol of formula units. The calculated volume is 23.16 Å³/atom.

=====

10.
This record from Alexandria via LeMat-Bulk describes an optimized crystal structure of SrY2Au. The functional is PBE.

```
SrY2Au
1.0
3.671 -0.002 0.000
0.006 3.671 0.000
0.000 0.000 9.675
Au Sr Y
1 1 2
Direct
0.500 0.500 0.250
0.500 0.500 0.750
0.000 0.000 0.074
0.000 0.000 0.426
```

Summary:
Its space group is P4/mmm (123). As for the final energy: -19.1 eV for the cell shown. The distance to the lowest polymorph of the same formula comes out at 13 kJ/mol of formula units. The calculated volume is 32.60 Å³/atom.

=====

11.
This record from Alexandria via LeMat-Bulk describes an optimized crystal structure of Sr2Y2Au. The functional is PBE.

```
Sr2Y2Au
1.0
-5.378 -4.805 3.129
4.516 -0.906 6.370
-2.681 4.671 2.565
Sr Au Y
4 2 4
Direct
0.157 0.343 0.000
0.343 0.843 0.000
0.657 0.157 0.000
0.843 0.657 0.000
0.000 0.000 0.000
0.500 0.500 0.000
0.159 0.659 0.500
0.341 0.159 0.500
0.841 0.341 0.500
0.659 0.841 0.500
```

Summary:
Its space group is P4/mbm (127). As for the final energy: -37.4 eV for the cell shown. The distance to the lowest polymorph of the same formula comes out at 120 kJ/mol of formula units. The calculated volume is 36.86 Å³/atom.

=====

12.
This record from Alexandria via LeMat-Bulk describes an optimized crystal structure of SrY2Au. The functional is PBE.

```
SrY2Au
1.0
-1.318 -6.549 1.771
1.930 -6.636 0.042
2.516 -1.669 4.810
Au Sr Y
1 1 2
Direct
0.250 0.250 0.250
0.750 0.750 0.750
0.949 0.949 0.051
0.551 0.551 0.449
```

Summary:
Its space group is Immm (71). As for the final energy: -19.3 eV for the cell shown. The distance to the lowest polymorph of the same formula comes out at 0 kJ/mol of formula units. The calculated volume is 31.48 Å³/atom.

=====

Which value of distance to the lowest polymorph of the same formula does entry 1 give?
50 kJ/mol of formula units

=====

The lowest final energy belongs to which entry?
Sr2Y2Au